Density functional theory data (PBE+U) for a relaxed LiNi3O4 crystal.

Lattice parameters (Å, degrees): 5.8909 5.8909 5.8909 120.15 120.02 89.85
Positions (direct):
Li 0.0000 0.0000 0.0000
Li 0.0000 0.5000 0.5000
Ni 0.0000 0.0000 0.5000
Ni 0.0000 0.5000 0.0000
Ni 0.5000 0.0000 0.0000
Ni 0.5000 0.0000 0.5000
Ni 0.5000 0.5000 0.0000
Ni 0.5000 0.5000 0.5000
O 0.2444 0.2444 0.0000
O 0.2537 0.7537 0.5000
O 0.2705 0.2653 0.5359
O 0.2705 0.7347 0.0052
O 0.7295 0.2653 0.9948
O 0.7295 0.7347 0.4641
O 0.7463 0.2463 0.5000
O 0.7556 0.7556 0.0000

Results
VASP energy = -77.64 eV per cell
Density of states at the Fermi level = 2.04 states/eV/f.u.
Size of the total moment = 10.00 Bohr magnetons per cell